A relaxed structure of KBiSb2Te. Source: Alexandria, functional PBE.

Summary:
**Total magnetization**: 1.215 μB per formula unit
**SG**: P4/mmm (123)
**Formation energy without anion corrections**: 1.3 eV per formula unit
**Final energy**: -15.0 eV per cell

Lattice parameters (Å, degrees): 5.909 5.909 6.197 90.00 90.00 90.00
Sites, in units of the cell vectors:
Sb 0.500 0.000 0.000
Sb 0.000 0.500 0.000
K 0.500 0.500 0.500
Te 0.000 0.000 0.500
Bi 0.000 0.000 0.000